1.
First-principles (GGA-PBE) data for crystalline La2GeOs2 at its relaxed geometry, as listed in Alexandria via LeMat-Bulk.

**Fermi-level density of states**: 9.7 states/eV per cell
**SG**: No. 127
**Total DFT energy (no corrections)**: -7.4986 eV per atom
**Mass density**: 10945 kg/m³
**Formation enthalpy at 0 K**: -0.112 eV/atom

abc: 6.8434 6.8434 4.7358
angles: 90.00 90.00 90.00
Element x y z (fractional)
La (0.1842, 0.6842, 0.5000)
Ge (0.0000, 0.0000, 0.0000)
Os (0.1278, 0.3722, 0.0000)
Os (0.6278, 0.1278, 0.0000)
La (0.3158, 0.1842, 0.5000)
Ge (0.5000, 0.5000, 0.0000)
La (0.8158, 0.3158, 0.5000)
La (0.6842, 0.8158, 0.5000)
Os (0.3722, 0.8722, 0.0000)
Os (0.8722, 0.6278, 0.0000)

---

2.
First-principles (GGA-PBE) data for crystalline LaGe3Os3 at its relaxed geometry, as listed in Alexandria via LeMat-Bulk.

**Fermi-level density of states**: 11.3 states/eV per cell
**SG**: No. 148
**Total DFT energy (no corrections)**: -7.4838 eV per atom
**Distance to the lowest polymorph of the same formula**: 0.000 eV per atom
**Mass density**: 10979 kg/m³
**Formation enthalpy at 0 K**: 0.012 eV/atom

abc: 6.4953 6.4953 8.5459
angles: 67.67 67.67 60.00
Element x y z (fractional)
Ge (0.1608, 0.7808, 0.7441)
Os (0.7783, 0.0538, 0.5930)
Os (0.2217, 0.9462, 0.4070)
Ge (0.6857, 0.8392, 0.2559)
Os (0.9462, 0.4250, 0.4070)
Os (0.0538, 0.5750, 0.5930)
La (0.3171, 0.3171, 0.0488)
Ge (0.8392, 0.2192, 0.2559)
Ge (0.2192, 0.6857, 0.2559)
La (0.6829, 0.6829, 0.9512)
Ge (0.7808, 0.3143, 0.7441)
Os (0.4250, 0.2217, 0.4070)
Ge (0.3143, 0.1608, 0.7441)
Os (0.5750, 0.7783, 0.5930)

---

3.
First-principles (GGA-PBE) data for crystalline La8GeOs2 at its relaxed geometry, as listed in Alexandria via LeMat-Bulk.

**Fermi-level density of states**: 11.8 states/eV per cell
**SG**: No. 8
**Total DFT energy (no corrections)**: -6.2316 eV per atom
**Mass density**: 7469 kg/m³
**Formation enthalpy at 0 K**: -0.186 eV/atom

abc: 6.5852 7.8653 7.8653
angles: 114.08 101.12 101.12
Element x y z (fractional)
La (0.1908, 0.3686, 0.3686)
La (0.9754, 0.2039, 0.7831)
La (0.5868, 0.3572, 0.0867)
La (0.3678, 0.9190, 0.6478)
Os (0.4882, 0.6955, 0.3129)
Os (0.4882, 0.3129, 0.6955)
La (0.5868, 0.0867, 0.3572)
La (0.9754, 0.7831, 0.2039)
La (0.7848, 0.6508, 0.6508)
Ge (0.1879, 0.0085, 0.0085)
La (0.3678, 0.6478, 0.9190)

---

4.
First-principles (GGA-PBE) data for crystalline LaGe3Os2 at its relaxed geometry, as listed in Alexandria via LeMat-Bulk.

**Fermi-level density of states**: 5.2 states/eV per cell
**SG**: No. 63
**Total DFT energy (no corrections)**: -7.0761 eV per atom
**Mass density**: 10943 kg/m³
**Formation enthalpy at 0 K**: -0.203 eV/atom

abc: 5.7903 6.2928 6.2928
angles: 102.62 90.00 90.00
Element x y z (fractional)
Ge (0.2500, 0.5386, 0.8863)
La (0.7500, 0.6536, 0.6536)
Os (0.0000, 0.7940, 0.2060)
Ge (0.7500, 0.0393, 0.0393)
Os (0.0000, 0.2060, 0.7940)
Ge (0.2500, 0.9607, 0.9607)
La (0.2500, 0.3464, 0.3464)
Ge (0.2500, 0.8863, 0.5386)
Os (0.5000, 0.2060, 0.7940)
Ge (0.7500, 0.1137, 0.4614)
Os (0.5000, 0.7940, 0.2060)
Ge (0.7500, 0.4614, 0.1137)

---

5.
First-principles (GGA-PBE) data for crystalline LaGe3Os at its relaxed geometry, as listed in Alexandria via LeMat-Bulk.

**Fermi-level density of states**: 2.2 states/eV per cell
**SG**: No. 107
**Total DFT energy (no corrections)**: -6.5307 eV per atom
**Mass density**: 8873 kg/m³
**Formation enthalpy at 0 K**: -0.529 eV/atom

abc: 4.4673 4.4673 6.0248
angles: 111.76 111.76 90.00
Element x y z (fractional)
Ge (0.0059, 0.0059, 0.0117)
Os (0.2385, 0.2385, 0.4770)
La (0.5785, 0.5785, 0.1569)
Ge (0.8401, 0.3401, 0.6802)
Ge (0.3401, 0.8401, 0.6802)

---

6.
First-principles (GGA-PBE) data for crystalline La3Ge4Os2 at its relaxed geometry, as listed in Alexandria via LeMat-Bulk.

**Fermi-level density of states**: 5.5 states/eV per cell
**SG**: No. 12
**Total DFT energy (no corrections)**: -6.7933 eV per atom
**Distance to the lowest polymorph of the same formula**: 0.000 eV per atom
**Mass density**: 8897 kg/m³
**Formation enthalpy at 0 K**: -0.603 eV/atom

abc: 4.4434 6.0991 8.4802
angles: 107.15 90.00 111.36
Element x y z (fractional)
Ge (0.7099, 0.4197, 0.0836)
Ge (0.2901, 0.5803, 0.9164)
Os (0.6907, 0.3815, 0.3644)
La (0.6158, 0.2317, 0.6986)
Ge (0.1053, 0.2107, 0.4003)
La (0.3842, 0.7683, 0.3014)
Os (0.3093, 0.6185, 0.6356)
Ge (0.8947, 0.7893, 0.5997)
La (0.0000, 0.0000, 0.0000)

---

7.
First-principles (GGA-PBE) data for crystalline LaGe3Os3 at its relaxed geometry, as listed in Alexandria via LeMat-Bulk.

**Fermi-level density of states**: 5.9 states/eV per cell
**SG**: No. 223
**Total DFT energy (no corrections)**: -7.1855 eV per atom
**Distance to the lowest polymorph of the same formula**: 0.298 eV per atom
**Mass density**: 9977 kg/m³
**Formation enthalpy at 0 K**: 0.310 eV/atom

abc: 6.7588 6.7588 6.7588
angles: 90.00 90.00 90.00
Element x y z (fractional)
Ge (0.5000, 0.0000, 0.2500)
Os (0.5000, 0.2500, 0.0000)
Os (0.5000, 0.7500, 0.0000)
Ge (0.0000, 0.2500, 0.5000)
Ge (0.7500, 0.5000, 0.0000)
Os (0.0000, 0.5000, 0.7500)
Ge (0.0000, 0.7500, 0.5000)
Os (0.7500, 0.0000, 0.5000)
La (0.0000, 0.0000, 0.0000)
Ge (0.5000, 0.0000, 0.7500)
Os (0.0000, 0.5000, 0.2500)
La (0.5000, 0.5000, 0.5000)
Os (0.2500, 0.0000, 0.5000)
Ge (0.2500, 0.5000, 0.0000)

---

8.
First-principles (GGA-PBE) data for crystalline LaGeOs2Pd at its relaxed geometry, as listed in Alexandria via LeMat-Bulk.

**Fermi-level density of states**: 7.3 states/eV per cell
**SG**: No. 123
**Total DFT energy (no corrections)**: -5.9922 eV per atom
**Mass density**: 9511 kg/m³
**Formation enthalpy at 0 K**: 1.447 eV/atom

abc: 4.8057 5.2797 4.8057
angles: 90.00 90.00 90.00
Element x y z (fractional)
Ge (0.5000, 0.5000, 0.5000)
La (0.0000, 0.5000, 0.0000)
Pd (0.0000, 0.0000, 0.0000)
Os (0.0000, 0.0000, 0.5000)
Os (0.5000, 0.0000, 0.0000)